1.
Material: Sr2PmPuS4
Method: DFT, PBE
State: relaxed

abc: 7.1175 4.1120 7.2374
angles: 90.00 109.25 90.00
Closest atoms and distances in Å follow each position.
Fractional coordinates of all 8 atoms:
Sr  0.0000  0.0000  0.0000  6 S 2.99-3.00
Sr  0.5000  0.5000  0.0000  6 S 2.98
Pm  0.0000  0.5000  0.5000  6 S 2.87
Pu  0.5000  0.0000  0.5000  6 S 2.85-2.87
S  0.2462  0.0000  0.7363  1 Pu 2.87, 2 Pm 2.87, 3 Sr 2.98-2.99
S  0.2574  0.5000  0.2663  2 Pu 2.85, 1 Pm 2.87, 3 Sr 2.98-3.00
S  0.7426  0.5000  0.7337  2 Pu 2.85, 1 Pm 2.87, 3 Sr 2.98-3.00
S  0.7538  0.0000  0.2637  1 Pu 2.87, 2 Pm 2.87, 3 Sr 2.98-2.99

## Properties
- raw formation energy (eV/atom) = -1.967
- uncorrected energy (eV per cell) = -54.69
- density of states at the Fermi level (states/eV per atom) = 1.533
- space group = P2/m
- V (Å³ per atom) = 24.997
- ρ (kg/m³) = 5750

2.
Material: TbPm3Pu2S6
Method: DFT, PBE
State: relaxed

abc: 6.8961 6.8961 6.9333
angles: 99.52 99.52 120.01
Closest atoms and distances in Å follow each position.
Fractional coordinates of all 12 atoms:
Tb  0.0000  0.0000  0.0000  6 S 2.79
Pm  0.1668  0.8332  0.5000  6 S 2.85
Pm  0.5000  0.5000  0.5000  6 S 2.85
Pm  0.8332  0.1668  0.5000  6 S 2.85
Pu  0.3335  0.6666  0.0000  6 S 2.79
Pu  0.6666  0.3335  0.0000  6 S 2.79
S  0.0806  0.4137  0.2417  1 Tb 2.79, 2 Pu 2.79, 3 Pm 2.85
S  0.2521  0.2521  0.7572  1 Tb 2.79, 2 Pu 2.79, 3 Pm 2.85
S  0.4137  0.0806  0.2417  1 Tb 2.79, 2 Pu 2.79, 3 Pm 2.85
S  0.5863  0.9194  0.7583  1 Tb 2.79, 2 Pu 2.79, 3 Pm 2.85
S  0.7479  0.7479  0.2428  1 Tb 2.79, 2 Pu 2.79, 3 Pm 2.85
S  0.9194  0.5863  0.7583  1 Tb 2.79, 2 Pu 2.79, 3 Pm 2.85

## Properties
- raw formation energy (eV/atom) = -1.960
- uncorrected energy (eV per cell) = -95.83
- density of states at the Fermi level (states/eV per atom) = 1.397
- space group = C2/m
- V (Å³ per atom) = 22.454
- ρ (kg/m³) = 7853